# 1
A relaxed structure of OsBr2Cl2. Source: Alexandria via LeMat-Bulk, functional PBE.

Geometry as CIF:
```
data_OsBr2Cl2
_chemical_formula_sum 'Os4 Br8 Cl8'
_cell_length_a 6.623
_cell_length_b 8.252
_cell_length_c 9.760
_cell_angle_alpha 90.00
_cell_angle_beta 90.00
_cell_angle_gamma 90.00
_space_group_name_H-M_alt 'I m m m'
_space_group_IT_number 71
_space_group_name_Hall '-I 2 2'
loop_
_atom_site_label
_atom_site_type_symbol
_atom_site_fract_x
_atom_site_fract_y
_atom_site_fract_z
Os1 Os 0.203 0.000 0.000
Br1 Br 0.000 0.000 0.212
Br2 Br 0.000 0.500 0.329
Cl1 Cl 0.227 0.281 0.000
```

E in eV/f.u.: -19.25
Formation energy (no corrections) in eV/f.u.: -0.98
DOS(E_F) in states/eV/f.u.: 1.7

# 2
A relaxed structure of POsBrCl2. Source: Alexandria via LeMat-Bulk, functional PBE.

Geometry as CIF:
```
data_POsBrCl2
_chemical_formula_sum 'P1 Os1 Br1 Cl2'
_cell_length_a 4.986
_cell_length_b 4.986
_cell_length_c 5.224
_cell_angle_alpha 90.00
_cell_angle_beta 90.00
_cell_angle_gamma 90.00
_space_group_name_H-M_alt 'P 4/m m m'
_space_group_IT_number 123
_space_group_name_Hall '-P 4 2'
loop_
_atom_site_label
_atom_site_type_symbol
_atom_site_fract_x
_atom_site_fract_y
_atom_site_fract_z
P1 P 0.000 0.000 0.000
Os1 Os 0.500 0.500 0.000
Br1 Br 0.000 0.000 0.500
Cl1 Cl 0.000 0.500 0.500
```

E in eV/f.u.: -12.66
Energy relative to the lowest polymorph listed for this composition in eV/f.u.: 7.54
Formation energy (no corrections) in eV/f.u.: 9.35
DOS(E_F) in states/eV/f.u.: 4.2

# 3
A relaxed structure of POsBrCl2. Source: Alexandria via LeMat-Bulk, functional PBE.

Geometry as CIF:
```
data_POsBrCl2
_chemical_formula_sum 'P1 Os1 Br1 Cl2'
_cell_length_a 4.812
_cell_length_b 4.812
_cell_length_c 4.623
_cell_angle_alpha 90.00
_cell_angle_beta 90.00
_cell_angle_gamma 90.00
_space_group_name_H-M_alt 'P 4/m m m'
_space_group_IT_number 123
_space_group_name_Hall '-P 4 2'
loop_
_atom_site_label
_atom_site_type_symbol
_atom_site_fract_x
_atom_site_fract_y
_atom_site_fract_z
P1 P 0.000 0.000 0.000
Os1 Os 0.000 0.000 0.500
Br1 Br 0.500 0.500 0.000
Cl1 Cl 0.000 0.500 0.500
```

E in eV/f.u.: -20.20
Energy relative to the lowest polymorph listed for this composition in eV/f.u.: 0.00
Formation energy (no corrections) in eV/f.u.: 1.81
DOS(E_F) in states/eV/f.u.: 3.5

# 4
A relaxed structure of OsPd2BrCl. Source: Alexandria via LeMat-Bulk, functional PBE.

Geometry as CIF:
```
data_OsPd2BrCl
_chemical_formula_sum 'Os1 Pd2 Br1 Cl1'
_cell_length_a 5.000
_cell_length_b 5.000
_cell_length_c 4.743
_cell_angle_alpha 90.00
_cell_angle_beta 90.00
_cell_angle_gamma 90.00
_space_group_name_H-M_alt 'P 4/m m m'
_space_group_IT_number 123
_space_group_name_Hall '-P 4 2'
loop_
_atom_site_label
_atom_site_type_symbol
_atom_site_fract_x
_atom_site_fract_y
_atom_site_fract_z
Os1 Os 0.000 0.000 0.000
Pd1 Pd 0.000 0.500 0.000
Br1 Br 0.000 0.000 0.500
Cl1 Cl 0.500 0.500 0.500
```

E in eV/f.u.: -20.23
Formation energy (no corrections) in eV/f.u.: 4.91
DOS(E_F) in states/eV/f.u.: 7.4

# 5
A relaxed structure of Pm8Os3Br4Cl. Source: Alexandria via LeMat-Bulk, functional PBE.

Geometry as CIF:
```
data_Pm8Os3Br4Cl
_chemical_formula_sum 'Pm24 Os9 Br12 Cl3'
_cell_length_a 8.3762
_cell_length_b 8.3762
_cell_length_c 23.0158
_cell_angle_alpha 90.00
_cell_angle_beta 90.00
_cell_angle_gamma 120.00
_space_group_name_H-M_alt 'R -3 m'
_space_group_IT_number 166
_space_group_name_Hall '-R 3 2"'
loop_
_atom_site_label
_atom_site_type_symbol
_atom_site_fract_x
_atom_site_fract_y
_atom_site_fract_z
Pm1 Pm 0.0000 0.0000 0.2320
Pm2 Pm 0.0262 0.5131 0.7675
Os1 Os 0.0000 0.5000 0.5000
Br1 Br 0.0000 0.0000 0.0000
Br2 Br 0.0000 0.5000 0.0000
Cl1 Cl 0.0000 0.0000 0.5000
```

E in eV/f.u.: -93.78
Formation energy (no corrections) in eV/f.u.: -13.54
DOS(E_F) in states/eV/f.u.: 8.9

# 6
A relaxed structure of Pr8Os3Br4Cl. Source: Alexandria via LeMat-Bulk, functional PBE.

Geometry as CIF:
```
data_Pr8Os3Br4Cl
_chemical_formula_sum 'Pr24 Os9 Br12 Cl3'
_cell_length_a 8.4774
_cell_length_b 8.4774
_cell_length_c 23.3127
_cell_angle_alpha 90.00
_cell_angle_beta 90.00
_cell_angle_gamma 120.00
_space_group_name_H-M_alt 'R -3 m'
_space_group_IT_number 166
_space_group_name_Hall '-R 3 2"'
loop_
_atom_site_label
_atom_site_type_symbol
_atom_site_fract_x
_atom_site_fract_y
_atom_site_fract_z
Pr1 Pr 0.0000 0.0000 0.2325
Pr2 Pr 0.0247 0.5124 0.7670
Os1 Os 0.0000 0.5000 0.5000
Br1 Br 0.0000 0.0000 0.0000
Br2 Br 0.0000 0.5000 0.0000
Cl1 Cl 0.0000 0.0000 0.5000
```

E in eV/f.u.: -93.91
Formation energy (no corrections) in eV/f.u.: -13.44
DOS(E_F) in states/eV/f.u.: 9.0

# 7
A relaxed structure of Pr4OsBrCl2. Source: Alexandria via LeMat-Bulk, functional PBE.

Geometry as CIF:
```
data_Pr4OsBrCl2
_chemical_formula_sum 'Pr4 Os1 Br1 Cl2'
_cell_length_a 7.395
_cell_length_b 4.120
_cell_length_c 7.943
_cell_angle_alpha 90.00
_cell_angle_beta 107.99
_cell_angle_gamma 90.00
_space_group_name_H-M_alt 'P 1 2/m 1'
_space_group_IT_number 10
loop_
_space_group_symop_operation_xyz
'x,y,z'
'-x,-y,-z'
'-x,y,-z'
'x,-y,z'
loop_
_atom_site_label
_atom_site_type_symbol
_atom_site_fract_x
_atom_site_fract_y
_atom_site_fract_z
Pr1 Pr 0.217 0.000 0.209
Pr2 Pr 0.250 0.500 0.792
Os1 Os 0.000 0.500 0.000
Br1 Br 0.000 0.000 0.500
Cl1 Cl 0.500 0.000 0.000
Cl2 Cl 0.500 0.500 0.500
```

E in eV/f.u.: -43.97
Formation energy (no corrections) in eV/f.u.: -8.26
DOS(E_F) in states/eV/f.u.: 4.7

# 8
A relaxed structure of Rb2OsBr5Cl. Source: Alexandria via LeMat-Bulk, functional PBE.

Geometry as CIF:
```
data_Rb2OsBr5Cl
_chemical_formula_sum 'Rb4 Os2 Br10 Cl2'
_cell_length_a 7.545
_cell_length_b 7.545
_cell_length_c 10.556
_cell_angle_alpha 90.00
_cell_angle_beta 90.00
_cell_angle_gamma 90.00
_space_group_name_H-M_alt 'I 4 m m'
_space_group_IT_number 107
_space_group_name_Hall 'I 4 -2'
loop_
_atom_site_label
_atom_site_type_symbol
_atom_site_fract_x
_atom_site_fract_y
_atom_site_fract_z
Rb1 Rb 0.000 0.500 0.000
Os1 Os 0.000 0.000 0.250
Br1 Br 0.000 0.000 0.487
Br2 Br 0.236 0.236 0.250
Cl1 Cl 0.000 0.000 0.027
```

E in eV/f.u.: -31.81
Formation energy (no corrections) in eV/f.u.: -8.44
DOS(E_F) in states/eV/f.u.: 6.1

# 9
A relaxed structure of Rb2OsBr4Cl2. Source: Alexandria via LeMat-Bulk, functional PBE.

Geometry as CIF:
```
data_Rb2OsBr4Cl2
_chemical_formula_sum 'Rb4 Os2 Br8 Cl4'
_cell_length_a 12.762
_cell_length_b 7.335
_cell_length_c 6.592
_cell_angle_alpha 90.00
_cell_angle_beta 99.73
_cell_angle_gamma 90.00
_space_group_name_H-M_alt 'C 1 2/m 1'
_space_group_IT_number 12
loop_
_space_group_symop_operation_xyz
'x,y,z'
'-x,-y,-z'
'-x,y,-z'
'x,-y,z'
'x+1/2,y+1/2,z'
'-x+1/2,-y+1/2,-z'
'-x+1/2,y+1/2,-z'
'x+1/2,-y+1/2,z'
loop_
_atom_site_label
_atom_site_type_symbol
_atom_site_fract_x
_atom_site_fract_y
_atom_site_fract_z
Rb1 Rb 0.153 0.000 0.289
Os1 Os 0.000 0.500 0.500
Br1 Br 0.096 0.258 0.731
Cl1 Cl 0.138 0.500 0.306
```

E in eV/f.u.: -32.16
Formation energy (no corrections) in eV/f.u.: -8.61
DOS(E_F) in states/eV/f.u.: 5.9

# 10
A relaxed structure of Rb2OsBr2Cl4. Source: Alexandria via LeMat-Bulk, functional PBE.

Geometry as CIF:
```
data_Rb2OsBr2Cl4
_chemical_formula_sum 'Rb4 Os2 Br4 Cl8'
_cell_length_a 7.349
_cell_length_b 7.349
_cell_length_c 10.367
_cell_angle_alpha 90.00
_cell_angle_beta 90.00
_cell_angle_gamma 90.00
_space_group_name_H-M_alt 'I 4/m m m'
_space_group_IT_number 139
_space_group_name_Hall '-I 4 2'
loop_
_atom_site_label
_atom_site_type_symbol
_atom_site_fract_x
_atom_site_fract_y
_atom_site_fract_z
Rb1 Rb 0.000 0.500 0.250
Os1 Os 0.000 0.000 0.000
Br1 Br 0.000 0.000 0.243
Cl1 Cl 0.226 0.226 0.000
```

E in eV/f.u.: -33.61
Formation energy (no corrections) in eV/f.u.: -9.72
DOS(E_F) in states/eV/f.u.: 6.0

# 11
A relaxed structure of Rb3OsBr2Cl6. Source: Alexandria via LeMat-Bulk, functional PBE.

Geometry as CIF:
```
data_Rb3OsBr2Cl6
_chemical_formula_sum 'Rb6 Os2 Br4 Cl12'
_cell_length_a 17.087
_cell_length_b 8.988
_cell_length_c 5.627
_cell_angle_alpha 90.00
_cell_angle_beta 91.03
_cell_angle_gamma 90.00
_space_group_name_H-M_alt 'C 1 2/m 1'
_space_group_IT_number 12
loop_
_space_group_symop_operation_xyz
'x,y,z'
'-x,-y,-z'
'-x,y,-z'
'x,-y,z'
'x+1/2,y+1/2,z'
'-x+1/2,-y+1/2,-z'
'-x+1/2,y+1/2,-z'
'x+1/2,-y+1/2,z'
loop_
_atom_site_label
_atom_site_type_symbol
_atom_site_fract_x
_atom_site_fract_y
_atom_site_fract_z
Rb1 Rb 0.000 0.000 0.000
Rb2 Rb 0.250 0.250 0.500
Os1 Os 0.000 0.500 0.500
Br1 Br 0.197 0.000 0.036
Cl1 Cl 0.062 0.315 0.725
Cl2 Cl 0.107 0.500 0.252
```

E in eV/f.u.: -41.82
Formation energy (no corrections) in eV/f.u.: -13.26
DOS(E_F) in states/eV/f.u.: 6.5

# 12
A relaxed structure of ReOsBrCl2. Source: Alexandria via LeMat-Bulk, functional PBE.

Geometry as CIF:
```
data_ReOsBrCl2
_chemical_formula_sum 'Re1 Os1 Br1 Cl2'
_cell_length_a 4.589
_cell_length_b 4.589
_cell_length_c 5.054
_cell_angle_alpha 90.00
_cell_angle_beta 90.00
_cell_angle_gamma 90.00
_space_group_name_H-M_alt 'P 4/m m m'
_space_group_IT_number 123
_space_group_name_Hall '-P 4 2'
loop_
_atom_site_label
_atom_site_type_symbol
_atom_site_fract_x
_atom_site_fract_y
_atom_site_fract_z
Re1 Re 0.000 0.000 0.000
Os1 Os 0.000 0.000 0.500
Br1 Br 0.500 0.500 0.500
Cl1 Cl 0.000 0.500 0.000
```

E in eV/f.u.: -23.97
Formation energy (no corrections) in eV/f.u.: 5.07
DOS(E_F) in states/eV/f.u.: 4.9